# 1
A relaxed structure of Rb2Pa3Te6, computed with PBE.

Computed properties:
Space-group type ... No. 12
D(E_F) ... 1.6327 states/eV/atom
Calculated total energy ... -5.388 eV per atom
Formation energy (no corrections) ... -909 meV/atom

The structure in POSCAR format:
```
Rb2Pa3Te6
1.0
0.8078 7.0663 -2.5069
-5.4476 5.0747 1.2062
4.1641 4.6872 6.9687
Te Rb Pa
6 2 3
Direct
0.0720 0.3298 0.7951
0.4018 0.6702 0.7951
0.7310 0.0000 0.7970
0.2690 0.0000 0.2030
0.5982 0.3298 0.2049
0.9280 0.6702 0.2049
0.8336 0.3328 0.5000
0.1664 0.6672 0.5000
0.3318 0.3363 0.0000
0.0000 0.0000 0.0000
0.6682 0.6637 0.0000
```

---

# 2
A relaxed structure of RbPaTe, computed with PBE.

Computed properties:
Space-group type ... No. 166
D(E_F) ... 1.1217 states/eV/atom
Calculated total energy ... -4.811 eV per atom
Formation energy (no corrections) ... -276 meV/atom

The structure in POSCAR format:
```
RbPaTe
1.0
-1.6439 2.9962 -2.1953
-3.9222 0.9457 0.4699
1.9839 11.6534 10.6613
Pa Rb Te
2 2 2
Direct
0.6837 0.6837 0.9490
0.3163 0.3163 0.0510
0.8811 0.8811 0.3566
0.1189 0.1189 0.6434
0.6048 0.6048 0.1855
0.3952 0.3952 0.8145
```